Material: ZnPbCl2
Method: DFT, PBE
State: relaxed

Lattice parameters (Å, degrees): 5.9915 5.9915 5.9915 137.08 137.08 62.31
With the nearest neighbours (Å) after each atom.
Fractional coordinates of all 4 atoms:
Zn: 0.0000 0.0000 0.0000  8 Cl 3.10-3.37, 4 Pb 3.37
Pb: 0.7500 0.2500 0.5000  8 Cl 3.10-3.37, 4 Zn 3.37
Cl: 0.2500 0.7500 0.5000  4 Pb 3.10, 4 Cl 3.37, 4 Zn 3.37
Cl: 0.5000 0.5000 0.0000  4 Zn 3.10, 4 Cl 3.37, 4 Pb 3.37

Output
* magnetic moment: 0.00 μB/f.u.
* polymorph energy (0 for the lowest one): 241 meV/atom
* E_form (uncorrected): -0.43 eV per atom
* symmetry: No. 119
* density of states at the Fermi level: 0.03 states/eV/f.u.